This record from OQMD via LeMat-Bulk describes a relaxed Ag15Sb crystal. The functional is GGA-PBE.

- E above lowest polymorph (meV per atom) = 30
- crystal system = monoclinic
- uncorrected energy (eV/cell) = -90.990

Unit cell a=8.133 b=2.922 c=35.516 alpha=90.00 beta=90.08 gamma=90.00
Space group P2_1/m (No. 11)
Asymmetric unit:
Ag 0.124 0.250 0.188 x2
Ag 0.125 0.250 0.021 x2
Ag 0.125 0.250 0.104 x2
Ag 0.125 0.250 0.273 x2
Ag 0.125 0.250 0.687 x2
Ag 0.125 0.250 0.854 x2
Ag 0.125 0.250 0.938 x2
Ag 0.126 0.250 0.770 x2
Ag 0.375 0.750 0.063 x2
Ag 0.375 0.750 0.147 x2
Ag 0.375 0.750 0.230 x2
Ag 0.375 0.750 0.727 x2
Ag 0.375 0.750 0.812 x2
Ag 0.375 0.750 0.896 x2
Ag 0.375 0.750 0.979 x2
Sb 0.375 0.750 0.318 x2